A geometry-optimized MnCu2As structure. Source: Alexandria via LeMat-Bulk, functional PBEsol.

The structure belongs to space group Cmmm (No. 65); the cell edges are 4.8838, 7.4321 and 2.8699 Å and the angles 90.00°, 90.00° and 90.00°. The distinct sites, in fractional coordinates, are Mn at (0.0000, 0.0000, 0.0000), Cu at (0.2500, 0.2500, 0.5000) and As at (0.0000, 0.5000, 0.0000).

For the formation energy, the calculation gives 18 kJ/mol of atoms. For the final energy, the calculation gives -45.58 eV for the cell shown.